Crystalline Tb4ZnIr3 at its relaxed geometry, computed with GGA-PBE.

E_tot	-6.516	eV per atom
size of the total moment	0.00	μB per formula unit

Lattice parameters (Å, degrees): 4.9096 4.9096 24.1016 90.00 90.00 120.00
Last column: nearest neighbours and their distance in Å.
Space group R-3m (No. 166, hexagonal axes)
One atom of each set of equivalent atoms:
Tb 0.0000 0.0000 0.1223 [6 per cell]  5 Ir 2.95-3.02, 3 Zn 3.03
Tb 0.0000 0.0000 0.3726 [6 per cell]  7 Ir 2.99-3.05, 1 Zn 3.07
Zn 0.0000 0.0000 0.5000 [3 per cell]  8 Tb 3.03-3.07
Ir 0.0000 0.0000 0.0000 [3 per cell]  8 Tb 2.95-2.99
Ir 0.0000 0.0000 0.2478 [6 per cell]  8 Tb 2.97-3.05

---

Crystalline Rb2CeU3O12 at its relaxed geometry, computed with GGA-PBE.

E_tot	-8.610	eV per atom
ΔE_f (raw)	-2.986	eV/atom
size of the total moment	0.00	μB per formula unit

Lattice parameters (Å, degrees): 8.0418 8.0418 19.2451 90.00 90.00 120.00
Last column: nearest neighbours and their distance in Å.
Space group R-3m (No. 166, hexagonal axes)
One atom of each set of equivalent atoms:
Rb 0.0000 0.0000 0.1425 [6 per cell]  3 O 3.23
Ce 0.0000 0.0000 0.5000 [3 per cell]  6 O 2.26
U 0.0000 0.5000 0.0000 [9 per cell]  6 O 2.02-2.12
O 0.0617 0.5308 0.1027 [18 per cell]  1 U 2.02, 1 Ce 2.26
O 0.0843 0.5421 0.3520 [18 per cell]  2 U 2.12

---

Crystalline K2RuRh at its relaxed geometry, computed with GGA-PBE.

E_tot	-4.051	eV per atom
size of the total moment	0.00	μB per formula unit
excess energy over the best structure of this formula in the dataset	0.122	eV/atom

Lattice parameters (Å, degrees): 3.5187 3.5844 19.8996 90.00 90.00 90.00
Last column: nearest neighbours and their distance in Å.
Space group Immm (No. 71)
One atom of each set of equivalent atoms:
K 0.0000 0.0000 0.1427 [4 per cell]  2 Rh 3.34, 2 Ru 3.36, 4 K 3.52-3.58
Ru 0.0000 0.5000 0.0000 [2 per cell]  4 Rh 2.51
Rh 0.0000 0.5000 0.5000 [2 per cell]  4 Ru 2.51

---

Crystalline Bi2SbI3 at its relaxed geometry, computed with GGA-PBE.

E_tot	-2.976	eV per atom
ΔE_f (raw)	-0.220	eV/atom
size of the total moment	0.00	μB per formula unit

Lattice parameters (Å, degrees): 20.0250 4.6942 14.2702 90.00 127.04 90.00
Last column: nearest neighbours and their distance in Å.
Space group C2/m (No. 12)
One atom of each set of equivalent atoms:
Bi 0.1065 0.0000 0.4657 [4 per cell]  2 Sb 3.08-3.09, 4 I 3.18-3.40
Bi 0.1379 0.5000 0.8315 [4 per cell]  2 Sb 3.07, 2 I 3.09-3.16
Sb 0.0843 0.0000 0.6616 [4 per cell]  4 Bi 3.07-3.09
I 0.0500 0.5000 0.2575 [4 per cell]  3 Bi 3.16-3.40
I 0.1709 0.0000 0.0361 [4 per cell]  1 Bi 3.09
I 0.2353 0.5000 0.6149 [4 per cell]  2 Bi 3.18

---

Crystalline TbInSn2 at its relaxed geometry, computed with GGA-PBE.

E_tot	-4.285	eV per atom
size of the total moment	0.00	μB per formula unit
excess energy over the best structure of this formula in the dataset	0.000	eV/atom

Lattice parameters (Å, degrees): 4.7264 4.7264 4.6248 90.00 90.00 90.00
Last column: nearest neighbours and their distance in Å.
Space group P4/mmm (No. 123)
One atom of each set of equivalent atoms:
Tb 0.0000 0.0000 0.0000 [1 per cell]  8 Sn 3.31, 4 In 3.34
In 0.5000 0.5000 0.0000 [1 per cell]  8 Sn 3.31, 4 Tb 3.34
Sn 0.0000 0.5000 0.5000 [2 per cell]  4 Tb 3.31, 4 In 3.31, 4 Sn 3.34

---

Crystalline Sr6Se5Br at its relaxed geometry, computed with GGA-PBE.

E_tot	-4.409	eV per atom
ΔE_f (raw)	-1.977	eV/atom
size of the total moment	0.00	μB per formula unit

Lattice parameters (Å, degrees): 7.7068 13.3410 7.7012 90.00 109.45 90.00
Last column: nearest neighbours and their distance in Å.
Space group C2/m (No. 12)
One atom of each set of equivalent atoms:
Sr 0.2397 0.0000 0.2560 [4 per cell]  5 Se 3.04-3.14, 1 Br 3.25
Sr 0.2410 0.1730 0.7423 [8 per cell]  5 Se 3.07-3.16, 1 Br 3.26
Se 0.0000 0.0000 0.5000 [2 per cell]  6 Sr 3.04-3.15
Se 0.0000 0.1673 0.0000 [4 per cell]  6 Sr 3.13-3.14
Se 0.0000 0.3376 0.5000 [4 per cell]  6 Sr 3.07-3.16
Br 0.0000 0.5000 0.0000 [2 per cell]  6 Sr 3.25-3.26

---

> Look up the E_tot of the sixth one.

-4.409 eV per atom